(1)
! PBE-GGA LaCoP2, optimized geometry; values from VASP
&SYSTEM
  ibrav = 0, nat = 4, ntyp = 3
/
ATOMIC_SPECIES
La 138.91 La.upf
Co 58.93 Co.upf
P 30.97 P.upf
CELL_PARAMETERS angstrom
-2.030 2.030 4.571
2.030 -2.030 4.571
2.030 2.030 -4.571
ATOMIC_POSITIONS angstrom
La 0.000 0.000 0.000
Co 0.000 2.030 2.286
P 2.030 0.000 2.286
P 0.000 0.000 4.571
! Total DFT energy (no corrections) ... -23.27 eV for the cell shown
! D(E_F) ... 1.207 states/eV/atom
! Total magnetic moment ... 1.781 μB per formula unit
! Excess energy over the best structure of this formula in the dataset ... 0.816 eV per atom
! Energy relative to the elements ... -0.10 eV/atom

=====

(2)
! PBE-GGA SiTe3Pd, optimized geometry; values from VASP
&SYSTEM
  ibrav = 0, nat = 5, ntyp = 3
/
ATOMIC_SPECIES
Si 28.09 Si.upf
Te 127.60 Te.upf
Pd 106.42 Pd.upf
CELL_PARAMETERS angstrom
5.201 0.000 0.000
0.000 5.201 0.000
0.000 0.000 5.201
ATOMIC_POSITIONS angstrom
Si 0.000 0.000 0.000
Te 0.000 0.000 2.600
Te 0.000 2.600 0.000
Te 2.600 0.000 0.000
Pd 2.600 2.600 2.600
! Total DFT energy (no corrections) ... -16.57 eV for the cell shown
! D(E_F) ... 1.202 states/eV/atom
! Total magnetic moment ... 0.000 μB per formula unit
! Uncorrected formation energy ... 0.69 eV/atom
! Excess energy over the best structure of this formula in the dataset ... 0.728 eV per atom

=====

> Which of these has the lowest total magnetic moment?

SiTe3Pd

=====

> Which value of D(E_F) does entry 2 give?

1.202 states/eV/atom

=====

> What is the formula in the first record?

LaCoP2